The following is a DFT calculation (PBE-GGA) of a relaxed structure of Ac3RuAu.

Output
E_tot (eV/cell): -53.36
Energy relative to the elements (meV/atom): -360
E above lowest polymorph (meV/atom): 37.2

Unit cell a=5.566 b=8.675 c=6.885 alpha=90.00 beta=90.00 gamma=90.00
Space group Pmc2_1 (No. 26)
Unique sites:
Ac  0.000  0.000  0.000
Ac  0.000  0.381  0.250
Ac  0.500  0.262  0.749
Ru  0.000  0.287  0.750
Au  0.500  0.140  0.250

The following is a DFT calculation (PBE-GGA) of a relaxed structure of Ce8PS6.

Output
E_tot (eV/cell): -99.69
Raw formation energy (eV/atom): -1.470

Unit cell a=10.1560 b=10.1560 c=4.1107 alpha=90.00 beta=90.00 gamma=120.00
Space group P-3 (No. 147)
Unique sites:
Ce  0.0336  0.7186  0.2571
Ce  0.3333  0.6667  0.7480
P  0.0000  0.0000  0.5000
S  0.1285  0.4819  0.2470

What is the E_tot in the first record?
-53.36 eV/cell

Which of these has the highest E_tot?
Ac3RuAu

Which value of E_tot does entry 1 give?
-53.36 eV/cell